DFT (GGA+U) results for PaCrSe2O8 after structural relaxation.

Lattice parameters (Å, degrees): 5.9909 5.9909 5.9909 108.75 108.75 110.92
Element x y z (fractional)
Pa (0.0000, 0.0000, 0.0000)
Cr (0.2500, 0.7500, 0.5000)
Se (0.5000, 0.5000, 0.0000)
Se (0.7500, 0.2500, 0.5000)
O (0.3031, 0.1144, 0.8113)
O (0.3031, 0.4919, 0.1887)
O (0.3638, 0.0534, 0.3103)
O (0.5081, 0.6969, 0.8113)
O (0.7431, 0.0534, 0.6897)
O (0.8856, 0.6969, 0.1887)
O (0.9466, 0.2569, 0.3103)
O (0.9466, 0.6362, 0.6897)

Properties
N(E_F): 0.202 states/eV per atom
electronic total energy: -6.723 eV/atom
space group: I-4m2 (119)